VASP calculation (PBE+U) on a relaxed BaNiHgF6 crystal.

a = 5.809 Å, b = 5.809 Å, c = 10.911 Å
α = 90.00°, β = 90.00°, γ = 120.00°
Element x y z (fractional)
1 Ba 0.000 0.000 0.000
2 Ba 0.000 0.000 0.500
3 Ni 0.333 0.667 0.250
4 Ni 0.667 0.333 0.750
5 Hg 0.333 0.667 0.750
6 Hg 0.667 0.333 0.250
7 F 0.039 0.384 0.144
8 F 0.039 0.655 0.356
9 F 0.345 0.384 0.356
10 F 0.345 0.961 0.144
11 F 0.384 0.039 0.644
12 F 0.384 0.345 0.856
13 F 0.616 0.655 0.144
14 F 0.616 0.961 0.356
15 F 0.655 0.039 0.856
16 F 0.655 0.616 0.644
17 F 0.961 0.345 0.644
18 F 0.961 0.616 0.856

Computed properties:
**Crystal system**: trigonal
**Magnetic moment**: 1.89 μB/f.u.
**Energy**: -4.2697 eV/atom